Version w
DFT (PBE-GGA) results for a relaxed structure of MgCd4Rh.

The structure in CIF format:
```
data_MgCd4Rh
_chemical_formula_sum 'Mg4 Cd16 Rh4'
_cell_length_a 5.7218
_cell_length_b 16.5113
_cell_length_c 5.1889
_cell_angle_alpha 90.00
_cell_angle_beta 98.35
_cell_angle_gamma 90.00
_symmetry_space_group_name_H-M 'C 1 2/c 1'
_symmetry_Int_Tables_number 15
loop_
_symmetry_equiv_pos_as_xyz
'x,y,z'
'-x,-y,-z'
'-x,y,-z+1/2'
'x,-y,z+1/2'
'x+1/2,y+1/2,z'
'-x+1/2,-y+1/2,-z'
'-x+1/2,y+1/2,-z+1/2'
'x+1/2,-y+1/2,z+1/2'
loop_
_atom_site_label
_atom_site_fract_x
_atom_site_fract_y
_atom_site_fract_z
_atom_site_occupancy
Mg1 0.0000 0.2114 0.2500 1
Cd1 0.2322 0.4501 0.6585 1
Cd2 0.2470 0.3626 0.1791 1
Rh1 0.0000 0.2866 0.7500 1
```

=====

Version x
DFT (PBE-GGA) results for a relaxed structure of MgCd4Rh.

The structure in CIF format:
```
data_MgCd4Rh
_chemical_formula_sum 'Mg4 Cd16 Rh4'
_cell_length_a 7.8620
_cell_length_b 7.8620
_cell_length_c 7.8620
_cell_angle_alpha 90.00
_cell_angle_beta 90.00
_cell_angle_gamma 90.00
_symmetry_space_group_name_H-M 'F -4 3 m'
_symmetry_Int_Tables_number 216
_symmetry_space_group_name_Hall 'F -4 2 3'
loop_
_atom_site_label
_atom_site_fract_x
_atom_site_fract_y
_atom_site_fract_z
_atom_site_occupancy
Mg1 0.0000 0.0000 0.0000 1
Cd1 0.1245 0.1245 0.3755 1
Rh1 0.2500 0.2500 0.7500 1
```

=====

Version y
DFT (PBE-GGA) results for a relaxed structure of MgCd4Rh.

The structure in CIF format:
```
data_MgCd4Rh
_chemical_formula_sum 'Mg1 Cd4 Rh1'
_cell_length_a 4.4134
_cell_length_b 4.4134
_cell_length_c 7.4462
_cell_angle_alpha 90.00
_cell_angle_beta 90.00
_cell_angle_gamma 90.00
_symmetry_space_group_name_H-M 'P 4/m m m'
_symmetry_Int_Tables_number 123
_symmetry_space_group_name_Hall '-P 4 2'
loop_
_atom_site_label
_atom_site_fract_x
_atom_site_fract_y
_atom_site_fract_z
_atom_site_occupancy
Mg1 0.0000 0.0000 0.0000 1
Cd1 0.0000 0.5000 0.2813 1
Rh1 0.5000 0.5000 0.5000 1
```

=====

Which one is the least stable? From the structures above, version x.